Below is a geometry-optimized MgWF5 structure, with properties calculated at the GGA+U level.

Its total energy is -5.542 eV/atom. The calculation puts the energy above the most stable polymorph in this dataset at 0 meV per atom.

It has space group P-1 (No. 2), with a = 5.419 Å, b = 5.606 Å, c = 7.662 Å, α = 109.84°, β = 96.50° and γ = 106.31°. The inequivalent atoms are Mg at (0.020, 0.228, 0.218), W at (0.500, 0.000, 0.500), W at (0.500, 0.500, 0.000), F at (0.166, 0.817, 0.584), F at (0.187, 0.154, 0.969), F at (0.210, 0.611, 0.874), F at (0.305, 0.152, 0.336) and F at (0.364, 0.617, 0.259).